Compound: CuClF2
Source: Alexandria
Functional: GGA-PBEsol
Structure: relaxed

Geometry as CIF:
```
data_CuClF2
_cell_length_a 2.7215
_cell_length_b 2.7215
_cell_length_c 27.2404
_cell_angle_alpha 90.00
_cell_angle_beta 90.00
_cell_angle_gamma 120.00
_space_group_name_H-M_alt 'R -3 m'
_space_group_IT_number 166
_space_group_name_Hall '-R 3 2"'
loop_
_atom_site_label
_atom_site_fract_x
_atom_site_fract_y
_atom_site_fract_z
Cu1 0.0000 0.0000 0.0000
Cl1 0.0000 0.0000 0.5000
F1 0.0000 0.0000 0.0631
```

As for the formation energy without anion corrections: -1.84 eV per formula unit. The value obtained for the energy is -3.009 eV per atom.

Compound: K2CuCl2F2
Source: Alexandria
Functional: GGA-PBEsol
Structure: relaxed

Geometry as CIF:
```
data_K2CuCl2F2
_cell_length_a 14.492
_cell_length_b 6.148
_cell_length_c 6.147
_cell_angle_alpha 90.00
_cell_angle_beta 90.00
_cell_angle_gamma 90.00
_space_group_name_H-M_alt 'C m c e'
_space_group_IT_number 64
_space_group_name_Hall '-C 2ac 2'
loop_
_atom_site_label
_atom_site_fract_x
_atom_site_fract_y
_atom_site_fract_z
K1 0.122 0.000 0.000
Cu1 0.000 0.000 0.500
Cl1 0.158 0.000 0.500
F1 0.000 0.221 0.279
```

As for the formation energy without anion corrections: -12.80 eV per formula unit. The value obtained for the energy is -3.895 eV per atom.